Rb3MnO2 | GGA+U | optimized geometry

Cell and atoms, written as POSCAR:
```
Rb3MnO2
1.0
5.201 -4.457 0.000
5.201 4.457 0.000
0.000 0.000 6.998
Rb Mn O
6 2 4
direct
0.227 0.773 0.750 Rb
0.308 0.308 0.000 Rb
0.308 0.308 0.500 Rb
0.692 0.692 0.000 Rb
0.692 0.692 0.500 Rb
0.773 0.227 0.250 Rb
0.142 0.858 0.250 Mn
0.858 0.142 0.750 Mn
0.000 0.000 0.000 O
0.000 0.000 0.500 O
0.364 0.636 0.250 O
0.636 0.364 0.750 O
```

## Properties
- Raw total energy: -51.239 eV per cell
- Calculated volume: 324 Å³/cell
- SG: Cmcm, No. 63
- M_tot: 0.75 μB per atom